First-principles (PBE) data for crystalline Tb3DyHo2Tm6 at its relaxed geometry, as listed in Alexandria.

Values from the calculation:
The calculation puts the volume at 30.50 Å³/atom. The calculation puts the density of states at the Fermi level at 16.27 states/eV per cell. The value obtained for the total magnetization is 0.00 μB per formula unit. For the formation energy, the calculation gives 0.022 eV per atom.

abc: 6.079 6.079 11.606
angles: 95.00 95.00 119.94
Atoms (fractional coordinates):
Tm 0.583 0.917 0.751
Tm 0.083 0.417 0.249
Tb 0.500 0.500 0.500
Tm 0.417 0.083 0.249
Tm 0.750 0.750 0.249
Tb 0.167 0.833 0.500
Dy 0.000 0.000 0.000
Tm 0.917 0.583 0.751
Ho 0.333 0.667 0.000
Tm 0.250 0.250 0.751
Tb 0.833 0.167 0.500
Ho 0.667 0.333 0.000